Density functional theory data (SCAN) for a crystal of Sm2W3O12 relaxed with PBEsol.

a b c (Å): 10.236 10.318 17.660
angles (deg): 90.00 125.40 90.00
Sites, in units of the cell vectors:
Sm: 0.133 0.029 0.383
Sm: 0.133 0.471 0.883
Sm: 0.367 0.030 0.117
Sm: 0.367 0.470 0.617
Sm: 0.633 0.530 0.383
Sm: 0.633 0.970 0.883
Sm: 0.867 0.529 0.117
Sm: 0.867 0.971 0.617
W: 0.029 0.612 0.641
W: 0.029 0.888 0.141
W: 0.254 0.112 0.642
W: 0.254 0.388 0.142
W: 0.476 0.750 0.000
W: 0.476 0.750 0.500
W: 0.524 0.250 0.000
W: 0.524 0.250 0.500
W: 0.746 0.612 0.858
W: 0.746 0.888 0.358
W: 0.971 0.112 0.859
W: 0.971 0.388 0.359
O: 0.012 0.719 0.155
O: 0.012 0.781 0.655
O: 0.054 0.524 0.736
O: 0.054 0.976 0.236
O: 0.078 0.084 0.638
O: 0.078 0.416 0.138
O: 0.148 0.058 0.965
O: 0.148 0.442 0.465
O: 0.198 0.584 0.638
O: 0.198 0.916 0.138
O: 0.219 0.058 0.535
O: 0.219 0.442 0.035
O: 0.299 0.219 0.155
O: 0.299 0.281 0.655
O: 0.312 0.640 0.937
O: 0.312 0.860 0.437
O: 0.344 0.163 0.420
O: 0.344 0.337 0.920
O: 0.419 0.024 0.736
O: 0.419 0.476 0.236
O: 0.438 0.639 0.563
O: 0.438 0.861 0.063
O: 0.497 0.664 0.420
O: 0.497 0.836 0.920
O: 0.503 0.164 0.080
O: 0.503 0.336 0.580
O: 0.562 0.139 0.937
O: 0.562 0.361 0.437
O: 0.581 0.524 0.764
O: 0.581 0.976 0.264
O: 0.656 0.663 0.080
O: 0.656 0.837 0.580
O: 0.688 0.140 0.563
O: 0.688 0.360 0.063
O: 0.701 0.719 0.345
O: 0.701 0.781 0.845
O: 0.781 0.558 0.965
O: 0.781 0.942 0.465
O: 0.802 0.084 0.862
O: 0.802 0.416 0.362
O: 0.852 0.558 0.535
O: 0.852 0.942 0.035
O: 0.922 0.584 0.862
O: 0.922 0.916 0.362
O: 0.946 0.024 0.764
O: 0.946 0.476 0.264
O: 0.988 0.219 0.345
O: 0.988 0.281 0.845

Summary:
**Raw formation energy**: -2.769 eV per atom
**Space-group type**: P2_1/c, No. 14
**Excess energy over the best structure of this formula in the dataset**: 0.0514 eV per atom
**D(E_F)**: 0.00 states/eV per cell

=====

Density functional theory data (SCAN) for a crystal of Sm2WO6 relaxed with PBEsol.

a b c (Å): 5.306 9.182 10.017
angles (deg): 90.00 90.00 90.00
Sites, in units of the cell vectors:
Sm: 0.024 0.103 0.465
Sm: 0.035 0.219 0.871
Sm: 0.465 0.781 0.371
Sm: 0.476 0.897 0.965
Sm: 0.524 0.397 0.535
Sm: 0.535 0.281 0.129
Sm: 0.965 0.719 0.629
Sm: 0.976 0.603 0.035
W: 0.042 0.496 0.350
W: 0.458 0.504 0.850
W: 0.542 0.004 0.650
W: 0.958 0.996 0.150
O: 0.071 0.847 0.026
O: 0.173 0.951 0.291
O: 0.185 0.635 0.820
O: 0.187 0.640 0.237
O: 0.226 0.111 0.065
O: 0.248 0.409 0.992
O: 0.252 0.591 0.492
O: 0.274 0.889 0.565
O: 0.313 0.360 0.737
O: 0.315 0.365 0.320
O: 0.327 0.049 0.791
O: 0.429 0.153 0.526
O: 0.571 0.653 0.974
O: 0.673 0.549 0.709
O: 0.685 0.865 0.180
O: 0.687 0.860 0.763
O: 0.726 0.389 0.935
O: 0.748 0.091 0.008
O: 0.752 0.909 0.508
O: 0.774 0.611 0.435
O: 0.813 0.140 0.263
O: 0.815 0.135 0.680
O: 0.827 0.451 0.209
O: 0.929 0.347 0.474

Summary:
**Raw formation energy**: -3.255 eV per atom
**Space-group type**: P2_12_12_1, No. 19
**Excess energy over the best structure of this formula in the dataset**: 0.0061 eV per atom
**D(E_F)**: 0.00 states/eV per cell

=====

Density functional theory data (SCAN) for a crystal of Sm2WO6 relaxed with PBEsol.

a b c (Å): 7.727 5.422 11.509
angles (deg): 90.00 104.13 90.00
Sites, in units of the cell vectors:
Sm: 0.000 0.181 0.250
Sm: 0.000 0.819 0.750
Sm: 0.297 0.311 0.924
Sm: 0.297 0.689 0.424
Sm: 0.500 0.237 0.250
Sm: 0.500 0.763 0.750
Sm: 0.703 0.311 0.576
Sm: 0.703 0.689 0.076
W: 0.223 0.247 0.614
W: 0.223 0.753 0.114
W: 0.777 0.247 0.886
W: 0.777 0.753 0.386
O: 0.007 0.143 0.888
O: 0.007 0.857 0.388
O: 0.136 0.345 0.454
O: 0.136 0.655 0.954
O: 0.211 0.489 0.227
O: 0.211 0.511 0.727
O: 0.282 0.040 0.768
O: 0.282 0.960 0.268
O: 0.354 0.016 0.071
O: 0.354 0.984 0.571
O: 0.434 0.460 0.603
O: 0.434 0.540 0.103
O: 0.566 0.460 0.897
O: 0.566 0.540 0.397
O: 0.646 0.016 0.429
O: 0.646 0.984 0.929
O: 0.718 0.040 0.732
O: 0.718 0.960 0.232
O: 0.789 0.489 0.273
O: 0.789 0.511 0.773
O: 0.864 0.345 0.046
O: 0.864 0.655 0.546
O: 0.993 0.143 0.612
O: 0.993 0.857 0.112

Summary:
**Raw formation energy**: -3.261 eV per atom
**Space-group type**: P2/c, No. 13
**Excess energy over the best structure of this formula in the dataset**: 0.0000 eV per atom
**D(E_F)**: 0.00 states/eV per cell

=====

Density functional theory data (SCAN) for a crystal of Sm3Y5O12 relaxed with PBEsol.

a b c (Å): 9.235 9.235 9.235
angles (deg): 109.51 109.48 109.43
Sites, in units of the cell vectors:
Sm: 0.219 0.469 0.750
Sm: 0.281 0.031 0.250
Sm: 0.501 0.003 0.999
Sm: 0.504 0.502 0.501
Sm: 0.996 0.497 0.998
Sm: 0.999 0.998 0.502
Y: 0.030 0.750 0.780
Y: 0.250 0.283 0.033
Y: 0.250 0.781 0.531
Y: 0.470 0.250 0.720
Y: 0.532 0.750 0.282
Y: 0.719 0.969 0.750
Y: 0.750 0.217 0.467
Y: 0.750 0.719 0.969
Y: 0.781 0.531 0.250
Y: 0.968 0.250 0.218
O: 0.008 0.238 0.466
O: 0.024 0.768 0.037
O: 0.041 0.529 0.273
O: 0.228 0.262 0.270
O: 0.231 0.987 0.463
O: 0.246 0.231 0.776
O: 0.254 0.030 0.984
O: 0.269 0.732 0.756
O: 0.272 0.542 0.034
O: 0.459 0.732 0.488
O: 0.476 0.513 0.744
O: 0.492 0.958 0.230
O: 0.514 0.042 0.768
O: 0.530 0.488 0.256
O: 0.545 0.269 0.516
O: 0.725 0.458 0.972
O: 0.732 0.275 0.244
O: 0.744 0.971 0.012
O: 0.756 0.768 0.227
O: 0.768 0.012 0.542
O: 0.775 0.746 0.732
O: 0.955 0.470 0.724
O: 0.970 0.225 0.958
O: 0.986 0.754 0.528

Summary:
**Raw formation energy**: -3.867 eV per atom
**Space-group type**: I2_12_12_1, No. 24
**D(E_F)**: 0.00 states/eV per cell

=====

Density functional theory data (SCAN) for a crystal of Sm11Y5O24 relaxed with PBEsol.

a b c (Å): 9.314 9.315 9.328
angles (deg): 109.48 109.48 109.39
Sites, in units of the cell vectors:
Sm: 0.000 0.000 0.000
Sm: 0.003 0.501 0.500
Sm: 0.033 0.812 0.282
Sm: 0.252 0.282 0.530
Sm: 0.258 0.785 0.037
Sm: 0.284 0.032 0.812
Sm: 0.533 0.314 0.281
Sm: 0.718 0.531 0.751
Sm: 0.744 0.782 0.530
Sm: 0.752 0.278 0.031
Sm: 0.971 0.252 0.781
Y: 0.222 0.534 0.251
Y: 0.469 0.749 0.782
Y: 0.502 0.062 0.564
Y: 0.502 0.565 0.064
Y: 0.782 0.030 0.312
O: 0.000 0.258 0.048
O: 0.005 0.051 0.261
O: 0.019 0.020 0.757
O: 0.020 0.290 0.568
O: 0.217 0.752 0.765
O: 0.227 0.514 0.994
O: 0.245 0.042 0.561
O: 0.270 0.528 0.502
O: 0.280 0.052 0.072
O: 0.298 0.811 0.308
O: 0.477 0.541 0.297
O: 0.481 0.266 0.490
O: 0.489 0.513 0.804
O: 0.513 0.316 0.019
O: 0.522 0.006 0.786
O: 0.528 0.824 0.062
O: 0.706 0.013 0.515
O: 0.717 0.793 0.773
O: 0.739 0.236 0.260
O: 0.758 0.317 0.800
O: 0.777 0.770 0.289
O: 0.793 0.555 0.544
O: 0.983 0.549 0.270
O: 0.984 0.739 0.003

Summary:
**Raw formation energy**: -3.817 eV per atom
**Space-group type**: P1, No. 1
**D(E_F)**: 0.00 states/eV per cell